No. 1
Compound: FeRhI2
Source: Alexandria via LeMat-Bulk
Functional: PBE
Structure: optimized geometry

Cell and atoms, written as POSCAR:
```
FeRhI2
1.0
0.000 3.378 3.378
3.378 0.000 3.378
3.378 3.378 0.000
Fe Rh I
1 1 2
direct
0.000 0.000 0.000
0.500 0.500 0.500
0.250 0.250 0.250
0.750 0.750 0.750
```

* relative energy among the computed polymorphs: 0.394 eV/atom
* DFT total energy: -15.02 eV per cell
* formation energy from raw total energies: 974.8 meV per atom

---

No. 2
Compound: LaPm4Nd2Er
Source: Alexandria via LeMat-Bulk
Functional: PBE
Structure: optimized geometry

Cell and atoms, written as POSCAR:
```
LaPm4Nd2Er
1.0
6.912 -6.743 0.000
6.912 6.743 0.000
-3.468 0.000 6.008
La Pm Nd Er
2 8 4 2
direct
0.000 0.500 0.000
0.500 0.000 0.500
0.243 0.756 0.998
0.244 0.757 0.502
0.246 0.246 0.484
0.246 0.246 0.984
0.754 0.754 0.016
0.754 0.754 0.516
0.756 0.243 0.498
0.757 0.244 0.002
0.000 0.500 0.500
0.500 0.000 0.000
0.500 0.500 0.000
0.500 0.500 0.500
0.000 0.000 0.000
0.000 0.000 0.500
```

* DFT total energy: -70.19 eV per cell
* ΔH_f (0 K): 2.934 eV per formula unit

---

No. 3
Compound: TlSbBr2
Source: Alexandria via LeMat-Bulk
Functional: PBE
Structure: optimized geometry

Cell and atoms, written as POSCAR:
```
TlSbBr2
1.0
4.011 0.000 0.000
0.000 4.011 0.000
0.000 0.000 8.775
Tl Sb Br
1 1 2
direct
0.000 0.000 0.000
0.500 0.500 0.643
0.000 0.000 0.545
0.500 0.500 0.167
```

* DFT total energy: -10.55 eV per cell
* formation energy from raw total energies: -179.3 meV per atom

---

No. 4
Compound: AsIrRuCl2
Source: Alexandria via LeMat-Bulk
Functional: PBE
Structure: optimized geometry

Cell and atoms, written as POSCAR:
```
AsIrRuCl2
1.0
4.880 0.000 0.000
0.000 4.880 0.000
0.000 0.000 4.747
As Ir Ru Cl
1 1 1 2
direct
0.000 0.000 0.000
0.000 0.000 0.500
0.500 0.500 0.000
0.000 0.500 0.500
0.500 0.000 0.500
```

* DFT total energy: -21.51 eV per cell
* formation energy from raw total energies: 994.3 meV per atom

---

No. 5
Compound: PmHf2Pd9
Source: Alexandria via LeMat-Bulk
Functional: PBE
Structure: optimized geometry

Cell and atoms, written as POSCAR:
```
PmHf2Pd9
1.0
4.066 0.000 0.000
0.000 4.066 0.000
0.000 0.000 12.211
Pm Hf Pd
1 2 9
direct
0.000 0.000 0.000
0.000 0.000 0.335
0.000 0.000 0.665
0.000 0.500 0.179
0.000 0.500 0.500
0.000 0.500 0.821
0.500 0.000 0.179
0.500 0.000 0.500
0.500 0.000 0.821
0.500 0.500 0.000
0.500 0.500 0.339
0.500 0.500 0.661
```

* DFT total energy: -81.79 eV per cell
* ΔH_f (0 K): -10.399 eV per formula unit

---

No. 6
Compound: PrPu2BrO4
Source: Alexandria via LeMat-Bulk
Functional: PBE
Structure: optimized geometry

Cell and atoms, written as POSCAR:
```
PrPu2BrO4
1.0
4.023 0.000 0.000
0.000 4.023 0.000
0.000 0.000 9.230
Pr Pu Br O
1 2 1 4
direct
0.000 0.000 0.000
0.500 0.500 0.266
0.500 0.500 0.734
0.000 0.000 0.500
0.000 0.500 0.161
0.000 0.500 0.839
0.500 0.000 0.161
0.500 0.000 0.839
```

* DFT total energy: -77.78 eV per cell
* formation energy from raw total energies: -2853.8 meV per atom

---

No. 7
Compound: NbPWS2
Source: Alexandria via LeMat-Bulk
Functional: PBE
Structure: optimized geometry

Cell and atoms, written as POSCAR:
```
NbPWS2
1.0
4.687 0.000 0.000
0.000 4.687 0.000
0.000 0.000 4.973
Nb P W S
1 1 1 2
direct
0.000 0.000 0.000
0.000 0.000 0.500
0.500 0.500 0.500
0.000 0.500 0.000
0.500 0.000 0.000
```

* relative energy among the computed polymorphs: 0.327 eV/atom
* DFT total energy: -31.96 eV per cell
* formation energy from raw total energies: 945.5 meV per atom

---

No. 8
Compound: ZrScCr2
Source: Alexandria via LeMat-Bulk
Functional: PBE
Structure: optimized geometry

Cell and atoms, written as POSCAR:
```
ZrScCr2
1.0
0.000 3.289 3.289
3.289 0.000 3.289
3.289 3.289 0.000
Zr Sc Cr
1 1 2
direct
0.000 0.000 0.000
0.250 0.250 0.250
0.500 0.500 0.500
0.750 0.750 0.750
```

* DFT total energy: -32.74 eV per cell
* ΔH_f (0 K): 1.390 eV per formula unit

---

No. 9
Compound: LaZnCd
Source: Alexandria via LeMat-Bulk
Functional: PBE
Structure: optimized geometry

Cell and atoms, written as POSCAR:
```
LaZnCd
1.0
-2.445 3.814 4.065
2.445 -3.814 4.065
2.445 3.814 -4.065
La Zn Cd
2 2 2
direct
0.000 0.000 0.000
0.555 0.055 0.500
0.169 0.356 0.813
0.543 0.356 0.187
0.401 0.688 0.712
0.976 0.688 0.288
```

* DFT total energy: -16.31 eV per cell
* ΔH_f (0 K): -1.039 eV per formula unit